# 1
KCaS2O8 | PBE-GGA | relaxed

```
KCaS2O8
1.0
5.501 0.000 0.000
-2.751 4.764 0.000
0.000 0.000 7.914
K Ca S O
1 1 2 8
Direct
0.000 0.000 0.000
0.000 0.000 0.500
0.333 0.667 0.752
0.667 0.333 0.248
0.186 0.373 0.689
0.186 0.814 0.689
0.333 0.667 0.939
0.373 0.186 0.311
0.627 0.814 0.689
0.667 0.333 0.061
0.814 0.186 0.311
0.814 0.627 0.311
```

**Formation energy (no corrections)**: -21.651 eV per formula unit
**DOS at the Fermi energy**: 1.0538 states/eV/atom

=====

# 2
Er2CdOs | PBE-GGA | relaxed

```
Er2CdOs
1.0
3.422 0.000 0.000
0.000 3.422 0.000
0.000 0.000 7.703
Er Cd Os
2 1 1
Direct
0.000 0.000 0.213
0.000 0.000 0.787
0.500 0.500 0.500
0.500 0.500 0.000
```

**DOS at the Fermi energy**: 0.6634 states/eV/atom
**Energy**: -22.7 eV for the cell shown

=====

# 3
Hf6Al2H | PBE-GGA | relaxed

```
Hf6Al2H
1.0
6.015 0.000 0.000
0.000 5.890 0.000
-5.935 0.000 9.580
Hf Al H
12 4 2
Direct
0.100 0.241 0.478
0.100 0.259 0.978
0.339 0.702 0.478
0.339 0.798 0.978
0.385 0.515 0.752
0.385 0.985 0.252
0.615 0.015 0.748
0.615 0.485 0.248
0.661 0.202 0.022
0.661 0.298 0.522
0.900 0.741 0.022
0.900 0.759 0.522
0.135 0.086 0.744
0.135 0.414 0.244
0.865 0.586 0.756
0.865 0.914 0.256
0.500 0.000 0.500
0.500 0.500 0.000
```

**DOS at the Fermi energy**: 0.8058 states/eV/atom
**Energy**: -144.2 eV for the cell shown

=====

# 4
HfTcGe | PBE-GGA | relaxed

```
HfTcGe
1.0
12.485 0.000 0.000
0.000 3.442 0.000
0.000 0.000 7.013
Hf Tc Ge
6 6 6
Direct
0.046 0.000 0.235
0.250 0.000 0.661
0.454 0.000 0.235
0.546 0.000 0.765
0.750 0.000 0.339
0.954 0.000 0.765
0.121 0.500 0.926
0.250 0.500 0.311
0.379 0.500 0.926
0.621 0.500 0.074
0.750 0.500 0.689
0.879 0.500 0.074
0.095 0.500 0.556
0.250 0.000 0.054
0.405 0.500 0.556
0.595 0.500 0.444
0.750 0.000 0.946
0.905 0.500 0.444
```

**DOS at the Fermi energy**: 0.2583 states/eV/atom
**Polymorph energy (0 for the lowest one)**: 0.0961 eV/atom

=====

# 5
NaCaLaMg | PBE-GGA | relaxed

```
NaCaLaMg
1.0
0.000 4.067 4.067
4.067 0.000 4.067
4.067 4.067 0.000
Na Ca La Mg
1 1 1 1
Direct
0.000 0.000 0.000
0.250 0.250 0.250
0.750 0.750 0.750
0.500 0.500 0.500
```

**DOS at the Fermi energy**: 1.0582 states/eV/atom
**Energy**: -9.6 eV for the cell shown

=====

# 6
La5BPb3 | PBE-GGA | relaxed

```
La5BPb3
1.0
9.767 0.000 0.000
-4.883 8.458 0.000
0.000 0.000 6.920
La B Pb
10 2 6
Direct
0.000 0.223 0.250
0.000 0.777 0.750
0.223 0.000 0.250
0.223 0.223 0.750
0.333 0.667 0.000
0.333 0.667 0.500
0.667 0.333 0.000
0.667 0.333 0.500
0.777 0.000 0.750
0.777 0.777 0.250
0.000 0.000 0.000
0.000 0.000 0.500
0.000 0.407 0.750
0.000 0.593 0.250
0.407 0.000 0.750
0.407 0.407 0.250
0.593 0.000 0.250
0.593 0.593 0.750
```

**DOS at the Fermi energy**: 1.3872 states/eV/atom
**Energy**: -93.0 eV for the cell shown

=====

# 7
CuGe2S6 | PBE-GGA | relaxed

```
CuGe2S6
1.0
5.772 -5.385 0.000
5.772 5.385 0.000
-1.103 0.000 6.015
Cu Ge S
2 4 12
Direct
0.105 0.895 0.750
0.895 0.105 0.250
0.220 0.389 0.657
0.389 0.220 0.157
0.611 0.780 0.843
0.780 0.611 0.343
0.027 0.182 0.608
0.116 0.617 0.860
0.182 0.027 0.108
0.288 0.468 0.340
0.383 0.884 0.640
0.468 0.288 0.840
0.532 0.712 0.160
0.617 0.116 0.360
0.712 0.532 0.660
0.818 0.973 0.892
0.884 0.383 0.140
0.973 0.818 0.392
```

**Formation energy (no corrections)**: -0.010 eV per formula unit
**DOS at the Fermi energy**: 0.7444 states/eV/atom

=====

# 8
Tl2Sn3Hg2 | PBE-GGA | relaxed

```
Tl2Sn3Hg2
1.0
2.422 -12.276 0.000
2.422 12.276 0.000
0.000 0.000 3.408
Tl Sn Hg
2 3 2
Direct
0.141 0.859 0.000
0.859 0.141 0.000
0.000 0.000 0.000
0.436 0.564 0.500
0.564 0.436 0.500
0.288 0.712 0.500
0.712 0.288 0.500
```

**DOS at the Fermi energy**: 0.3445 states/eV/atom
**Energy**: -17.3 eV for the cell shown

=====

# 9
NdZnNi3 | PBE-GGA | relaxed

```
NdZnNi3
1.0
2.347 -8.115 0.000
2.347 8.115 0.000
0.000 0.000 4.591
Nd Zn Ni
2 2 6
Direct
0.093 0.907 0.750
0.907 0.093 0.250
0.366 0.634 0.750
0.634 0.366 0.250
0.024 0.502 0.250
0.498 0.976 0.250
0.500 0.500 0.000
0.500 0.500 0.500
0.502 0.024 0.750
0.976 0.498 0.750
```

**DOS at the Fermi energy**: 0.8227 states/eV/atom
**Polymorph energy (0 for the lowest one)**: 0.1687 eV/atom

=====

# 10
ZrHgAu | PBE-GGA | relaxed

```
ZrHgAu
1.0
3.369 0.000 0.000
-1.684 2.918 0.000
0.000 0.000 6.719
Zr Hg Au
1 1 1
Direct
0.000 0.000 0.000
0.667 0.333 0.649
0.333 0.667 0.310
```

**DOS at the Fermi energy**: 0.7720 states/eV/atom
**Energy**: -12.5 eV for the cell shown

=====

# 11
Cs2TbTlBr6 | PBE-GGA | relaxed

```
Cs2TbTlBr6
1.0
8.264 0.000 0.000
0.000 8.643 0.000
-8.225 0.000 11.906
Cs Tb Tl Br
4 2 2 12
Direct
0.231 0.065 0.251
0.231 0.435 0.751
0.769 0.565 0.249
0.769 0.935 0.749
0.500 0.000 0.000
0.500 0.500 0.500
0.000 0.000 0.500
0.000 0.500 0.000
0.181 0.181 0.959
0.181 0.319 0.459
0.278 0.726 0.957
0.278 0.774 0.457
0.353 0.020 0.770
0.353 0.480 0.270
0.647 0.520 0.730
0.647 0.980 0.230
0.722 0.226 0.543
0.722 0.274 0.043
0.819 0.681 0.541
0.819 0.819 0.041
```

**Formation energy (no corrections)**: -16.926 eV per formula unit
**DOS at the Fermi energy**: 0.0000 states/eV/atom

=====

# 12
Pm2NdHoAs4 | PBE-GGA | relaxed

```
Pm2NdHoAs4
1.0
7.296 0.000 0.000
0.000 4.217 0.000
-2.432 0.000 6.880
Pm Nd Ho As
2 1 1 4
Direct
0.000 0.000 0.000
0.500 0.500 0.000
0.000 0.500 0.500
0.500 0.000 0.500
0.254 0.000 0.748
0.256 0.500 0.255
0.744 0.500 0.745
0.746 0.000 0.252
```

**DOS at the Fermi energy**: 0.0869 states/eV/atom
**Energy**: -49.6 eV for the cell shown